# 1
Material: PmHoAu
Method: DFT, GGA-PBE
State: relaxed

As for the energy relative to the lowest polymorph listed for this composition: 65 meV/atom. For the formation energy, the calculation gives -151 kJ/mol of formula units. The size of the total moment comes out at 0.74 μB/f.u. Its crystal system is tetragonal. The density of states at the Fermi level comes out at 1.2018 states/eV per atom.

The structure belongs to space group I4mm (No. 107); the cell edges are 3.631, 3.631 and 12.491 Å and the angles 90.00°, 90.00° and 90.00°. The distinct sites, in fractional coordinates, are Pm at (0.000, 0.000, 0.000), Ho at (0.000, 0.000, 0.711) and Au at (0.000, 0.000, 0.340).

# 2
Material: PmHoAu
Method: DFT, GGA-PBE
State: relaxed

As for the energy relative to the lowest polymorph listed for this composition: 13 meV/atom. For the formation energy, the calculation gives -166 kJ/mol of formula units. The size of the total moment comes out at 0.00 μB/f.u. Its crystal system is hexagonal. The density of states at the Fermi level comes out at 0.8365 states/eV per atom.

The structure belongs to space group P-62m (No. 189); the cell edges are 7.6062, 7.6062 and 4.9618 Å and the angles 90.00°, 90.00° and 120.00°. The distinct sites, in fractional coordinates, are Pm at (0.0000, 0.4039, 0.0000), Ho at (0.0000, 0.7386, 0.5000), Au at (0.0000, 0.0000, 0.0000) and Au at (0.3333, 0.6667, 0.5000).

# 3
Material: PmHo3Au
Method: DFT, GGA-PBE
State: relaxed

For the formation energy, the calculation gives -137 kJ/mol of formula units. The size of the total moment comes out at 0.00 μB/f.u. Its crystal system is orthorhombic. The density of states at the Fermi level comes out at 1.0261 states/eV per atom.

The structure belongs to space group Pmmn (No. 59, origin choice 2); the cell edges are 5.241, 7.440 and 7.519 Å and the angles 90.00°, 90.00° and 90.00°. The distinct sites, in fractional coordinates, are Pm at (0.250, 0.250, 0.205), Ho at (0.250, 0.033, 0.679), Ho at (0.250, 0.750, 0.062) and Au at (0.250, 0.750, 0.428).

# 4
Material: Pm4Ho3Au4
Method: DFT, GGA-PBE
State: relaxed

For the formation energy, the calculation gives -559 kJ/mol of formula units. The size of the total moment comes out at 0.00 μB/f.u. Its crystal system is orthorhombic. The density of states at the Fermi level comes out at 1.0341 states/eV per atom.

The structure belongs to space group Immm (No. 71); the cell edges are 3.774, 9.282 and 17.336 Å and the angles 90.00°, 90.00° and 90.00°. The distinct sites, in fractional coordinates, are Pm at (0.000, 0.185, 0.161), Ho at (0.000, 0.000, 0.399), Ho at (0.000, 0.500, 0.500), Au at (0.000, 0.321, 0.000) and Au at (0.000, 0.500, 0.239).

# 5
Material: Pm3HoAu2
Method: DFT, GGA-PBE
State: relaxed

As for the energy relative to the lowest polymorph listed for this composition: 162 meV/atom. For the formation energy, the calculation gives -239 kJ/mol of formula units. The size of the total moment comes out at 0.00 μB/f.u. Its crystal system is orthorhombic. The density of states at the Fermi level comes out at 1.3213 states/eV per atom.

The structure belongs to space group Ibam (No. 72); the cell edges are 7.170, 14.068 and 7.500 Å and the angles 90.00°, 90.00° and 90.00°. The distinct sites, in fractional coordinates, are Pm at (0.000, 0.000, 0.250), Pm at (0.000, 0.269, 0.250), Ho at (0.000, 0.500, 0.000) and Au at (0.207, 0.140, 0.000).

# 6
Material: PmHoRhAu
Method: DFT, GGA-PBE
State: relaxed

As for the energy relative to the lowest polymorph listed for this composition: 0 meV/atom. For the formation energy, the calculation gives -316 kJ/mol of formula units. The size of the total moment comes out at 0.00 μB/f.u. Its crystal system is orthorhombic. The density of states at the Fermi level comes out at 0.6680 states/eV per atom.

The structure belongs to space group Amm2 (No. 38); the cell edges are 4.615, 3.827 and 10.546 Å and the angles 90.00°, 90.00° and 90.00°. The distinct sites, in fractional coordinates, are Pm at (0.000, 0.000, 0.000), Ho at (0.500, 0.000, 0.719), Rh at (0.000, 0.000, 0.263) and Au at (0.500, 0.000, 0.436).

# 7
Material: PmHoRhAu
Method: DFT, GGA-PBE
State: relaxed

As for the energy relative to the lowest polymorph listed for this composition: 47 meV/atom. For the formation energy, the calculation gives -298 kJ/mol of formula units. The size of the total moment comes out at 0.00 μB/f.u. Its crystal system is cubic. The density of states at the Fermi level comes out at 1.0019 states/eV per atom.

The structure belongs to space group F-43m (No. 216); the cell edges are 7.114, 7.114 and 7.114 Å and the angles 90.00°, 90.00° and 90.00°. The distinct sites, in fractional coordinates, are Pm at (0.000, 0.000, 0.000), Ho at (0.000, 0.000, 0.500), Rh at (0.250, 0.250, 0.750) and Au at (0.250, 0.250, 0.250).

# 8
Material: PmHoRuAu
Method: DFT, GGA-PBE
State: relaxed

For the formation energy, the calculation gives -199 kJ/mol of formula units. The size of the total moment comes out at 0.00 μB/f.u. Its crystal system is cubic. The density of states at the Fermi level comes out at 0.6986 states/eV per atom.

The structure belongs to space group F-43m (No. 216); the cell edges are 7.081, 7.081 and 7.081 Å and the angles 90.00°, 90.00° and 90.00°. The distinct sites, in fractional coordinates, are Pm at (0.000, 0.000, 0.000), Ho at (0.000, 0.000, 0.500), Ru at (0.250, 0.250, 0.750) and Au at (0.250, 0.250, 0.250).

# 9
Material: PmHoSbAu
Method: DFT, GGA-PBE
State: relaxed

The size of the total moment comes out at 0.78 μB/f.u. The value obtained for the uncorrected energy is -4.952 eV per atom. Its crystal system is cubic. The density of states at the Fermi level comes out at 1.1025 states/eV per atom.

The structure belongs to space group F-43m (No. 216); the cell edges are 7.451, 7.451 and 7.451 Å and the angles 90.00°, 90.00° and 90.00°. The distinct sites, in fractional coordinates, are Pm at (0.000, 0.000, 0.000), Ho at (0.000, 0.000, 0.500), Sb at (0.250, 0.250, 0.750) and Au at (0.250, 0.250, 0.250).

# 10
Material: PmHoSnAu
Method: DFT, GGA-PBE
State: relaxed

For the formation energy, the calculation gives -274 kJ/mol of formula units. The size of the total moment comes out at 0.68 μB/f.u. Its crystal system is cubic. The density of states at the Fermi level comes out at 0.9099 states/eV per atom.

The structure belongs to space group F-43m (No. 216); the cell edges are 7.460, 7.460 and 7.460 Å and the angles 90.00°, 90.00° and 90.00°. The distinct sites, in fractional coordinates, are Pm at (0.000, 0.000, 0.000), Ho at (0.000, 0.000, 0.500), Sn at (0.250, 0.250, 0.250) and Au at (0.250, 0.250, 0.750).

# 11
Material: PrHoAu
Method: DFT, GGA-PBE
State: relaxed

As for the energy relative to the lowest polymorph listed for this composition: 0 meV/atom. For the formation energy, the calculation gives -172 kJ/mol of formula units. The size of the total moment comes out at 0.00 μB/f.u. Its crystal system is orthorhombic. The density of states at the Fermi level comes out at 1.0308 states/eV per atom.

The structure belongs to space group Pnma (No. 62); the cell edges are 7.354, 5.030 and 9.033 Å and the angles 90.00°, 90.00° and 90.00°. The distinct sites, in fractional coordinates, are Pr at (0.012, 0.250, 0.177), Ho at (0.148, 0.250, 0.581) and Au at (0.244, 0.750, 0.401).

# 12
Material: Pr2HoAu6
Method: DFT, GGA-PBE
State: relaxed

For the formation energy, the calculation gives -559 kJ/mol of formula units. The size of the total moment comes out at 0.00 μB/f.u. Its crystal system is trigonal. The density of states at the Fermi level comes out at 0.6777 states/eV per atom.

The structure belongs to space group P-3m1 (No. 164); the cell edges are 6.6734, 6.6734 and 5.5717 Å and the angles 90.00°, 90.00° and 120.00°. The distinct sites, in fractional coordinates, are Pr at (0.3333, 0.6667, 0.3344), Ho at (0.0000, 0.0000, 0.5000) and Au at (0.1881, 0.3762, 0.8229).